DFT (PBE) results for crystalline ThTcAs2 at its relaxed geometry.

The structure in extended XYZ format:
```
4
Lattice="4.429 0.000 0.000 2.215 3.836 0.000 2.215 1.279 7.892" Properties=species:S:1:pos:R:3 pbc="T T T"
As 6.644 3.836 2.452
As 2.215 1.279 5.440
Tc 0.000 0.000 0.000
Th 4.429 2.557 3.946
```

ΔE_f: 371 meV/atom